# PmYPu2N4 GGA-PBE relaxed
# formation energy from raw total energies = -1.412 eV/atom
# magnetic moment = 9.43 μB per formula unit
# uncorrected energy = -10.5594 eV per atom
data_PmYPu2N4
_cell_length_a 6.050
_cell_length_b 3.515
_cell_length_c 6.094
_cell_angle_alpha 90.00
_cell_angle_beta 109.57
_cell_angle_gamma 90.00
_space_group_name_H-M_alt 'P 1 2/m 1'
_space_group_IT_number 10
loop_
_space_group_symop_operation_xyz
'x,y,z'
'-x,-y,-z'
'-x,y,-z'
'x,-y,z'
loop_
_atom_site_label
_atom_site_fract_x
_atom_site_fract_y
_atom_site_fract_z
Pm1 0.000 0.000 0.000
Y1 0.000 0.500 0.500
Pu1 0.500 0.000 0.500
Pu2 0.500 0.500 0.000
N1 0.264 0.000 0.748
N2 0.268 0.500 0.262